A plane-wave DFT calculation with GGA-PBE was carried out for crystalline BW3C at its relaxed geometry.

Structure (CIF):
```
data_BW3C
_chemical_formula_sum 'B4 W12 C4'
_space_group_name_H-M_alt 'P 1 21/c 1'
_space_group_IT_number 14
_cell_length_a 5.258
_cell_length_b 5.838
_cell_length_c 9.305
_cell_angle_alpha 90.00
_cell_angle_beta 123.87
_cell_angle_gamma 90.00
loop_
_space_group_symop_operation_xyz
'x,y,z'
'-x,-y,-z'
'-x,y+1/2,-z+1/2'
'x,-y+1/2,z+1/2'
loop_
_atom_site_label
_atom_site_type_symbol
_atom_site_fract_x
_atom_site_fract_y
_atom_site_fract_z
B1 B 0.188 0.121 0.247
W1 W 0.096 0.181 0.933
W2 W 0.268 0.680 0.929
W3 W 0.421 0.037 0.749
C1 C 0.000 0.000 0.500
C2 C 0.500 0.000 0.000
```

## Properties
Spin magnetization = 0.0 μB per cell
Final energy = -11.065 eV per atom
Density = 16.1 g/cm³
Energy above the most stable polymorph in this dataset = 0.036 eV/atom